11
Lattice="3.3501 0.0000 -1.0196 -0.8818 5.1018 -2.8976 0.1137 0.1974 6.3873" Properties=species:S:1:pos:R:3 comment="PBE NdPa2H8, optimized geometry" final_energy_ev_per_cell=-54.543 vol_a3_per_cell=111.9 total_magnetization_mub_per_cell=2.823 pbc="T T T"
Pa 2.5511 1.7862 2.3686
Pa 0.0309 3.5130 0.1017
H 0.4644 0.9469 1.5259
H 0.6852 3.0714 2.2513
H 1.8968 2.2278 0.2189
H -0.2461 1.4237 -0.8086
H 2.1176 4.3523 0.9443
H -0.6358 3.6781 -2.0890
H 1.4688 4.7039 -1.1874
H 1.1132 0.5953 3.6576
Nd 1.6751 0.0000 -0.5098

5
Lattice="4.6499 0.0000 0.0000 0.0000 4.6005 0.0000 0.0000 0.0000 4.6499" Properties=species:S:1:pos:R:3 comment="PBE Re2GeOsI, optimized geometry" final_energy_ev_per_cell=-31.814 vol_a3_per_cell=99.5 e_form_raw_ev_per_atom=2.096 total_magnetization_mub_per_cell=0.976 pbc="T T T"
Re 2.3249 0.0000 0.0000
Re 0.0000 0.0000 2.3249
Os 0.0000 2.3002 0.0000
I 2.3249 2.3002 2.3249
Ge 0.0000 0.0000 0.0000

16
Lattice="5.2187 0.0000 0.0000 0.0000 6.7471 -3.8954 0.0000 0.0000 7.7909" Properties=species:S:1:pos:R:3 comment="PBE Li3Zn2Au3, optimized geometry" final_energy_ev_per_cell=-42.519 e_above_lowest_polymorph_mev_per_atom=55 vol_a3_per_cell=274.3 formation_enthalpy_0k_ev_per_fu=-3.138 total_magnetization_mub_per_cell=0.000 pbc="T T T"
Zn 0.0000 4.4981 0.0000
Zn 2.6093 4.4981 0.0000
Zn 0.0000 2.2490 3.8954
Zn 2.6093 2.2490 3.8954
Li 3.9140 4.9984 2.8858
Li 1.3047 4.9984 -2.8858
Li 1.3047 0.0000 5.7716
Li 1.3047 1.7487 1.0096
Li 3.9140 0.0000 2.0193
Li 3.9140 1.7487 -1.0096
Au 3.9140 4.1245 -2.3813
Au 3.9140 2.6226 1.5141
Au 1.3047 2.6226 -1.5141
Au 3.9140 0.0000 4.7626
Au 1.3047 0.0000 3.0283
Au 1.3047 4.1245 2.3813

4
Lattice="3.0312 0.4517 0.0000 -0.4497 3.0315 0.0000 0.0000 0.0000 8.7172" Properties=species:S:1:pos:R:3 comment="PBE LiZrCd2, optimized geometry" final_energy_ev_per_cell=-12.343 e_above_lowest_polymorph_mev_per_atom=159 vol_a3_per_cell=81.9 formation_enthalpy_0k_ev_per_fu=-0.051 total_magnetization_mub_per_cell=0.000 pbc="T T T"
Cd 1.2908 1.7416 2.3846
Cd 0.0000 0.0000 0.0284
Li 0.0000 0.0000 4.1965
Zr 1.2908 1.7416 6.4663